No. 1
A relaxed structure of RbSmInS3. Source: Alexandria, functional PBE.

Lattice parameters (Å, degrees): 8.7950 4.5466 10.0260 90.00 107.27 90.00
Fractional positions:
Rb 0.2113 0.2500 0.2280
Rb 0.7887 0.7500 0.7720
Sm 0.3369 0.7500 0.8632
Sm 0.6631 0.2500 0.1368
In 0.1141 0.2500 0.5943
In 0.8859 0.7500 0.4057
S 0.1189 0.2500 0.8501
S 0.2320 0.7500 0.5528
S 0.4660 0.7500 0.1449
S 0.5340 0.2500 0.8551
S 0.7680 0.2500 0.4472
S 0.8811 0.7500 0.1499

Output
D(E_F)   0.171 states/eV/atom
Electronic total energy   -4.691 eV per atom
Raw formation energy   -7.3 eV/f.u.
ρ   3.88 g cm⁻³
Magnetization   0.00 μB per formula unit

***

No. 2
A relaxed structure of RbTlTe. Source: Alexandria, functional PBE.

Lattice parameters (Å, degrees): 5.0009 5.0009 6.1264 90.00 90.00 120.00
Fractional positions:
Rb 0.0000 0.0000 0.0000
Tl 0.6667 0.3333 0.5841
Te 0.3333 0.6667 0.3505

Output
D(E_F)   0.000 states/eV/atom
Electronic total energy   -2.792 eV per atom
Raw formation energy   -1.9 eV/f.u.
ρ   5.22 g cm⁻³
Magnetization   0.00 μB per formula unit